A relaxed Ac2SmSi crystal, computed with PBE.

Computed properties:
ΔE to the lowest computed polymorph	0	meV per atom
mass density	8.3	g/cm³
magnetic moment	0.0	Bohr magnetons per cell
Fermi-level density of states	4.55	states/eV per cell

abc: 4.867 5.098 5.098
angles: 90.00 90.00 90.00
Positions (direct):
Ac1 0.000 0.000 0.500
Ac2 0.000 0.500 0.000
Si1 0.500 0.000 0.000
Sm1 0.500 0.500 0.500